(1)
First-principles (PBE) data for a relaxed structure of Hf2GaRe2Tc5, as listed in Alexandria via LeMat-Bulk.

The space group is P4/mbm (No. 127) and the conventional cell measures 10.236, 10.236 and 3.215 Å, with angles of 90.00, 90.00 and 90.00 degrees. Symmetry generates all atoms from Hf at (0.168, 0.332, 0.000), Ga at (0.000, 0.000, 0.000), Re at (0.140, 0.640, 0.000), Tc at (0.000, 0.500, 0.500) and Tc at (0.055, 0.808, 0.500).

The total energy is -9.92 eV per atom. The formation energy comes out at 0.045 eV per atom. The spin magnetization comes out at 0.00 μB/f.u.

***

(2)
First-principles (PBE) data for a relaxed structure of Er2Zn3Tc, as listed in Alexandria via LeMat-Bulk.

The space group is C2/m (No. 12) and the conventional cell measures 9.165, 5.312 and 5.461 Å, with angles of 90.00, 123.98 and 90.00 degrees. Symmetry generates all atoms from Er at (0.129, 0.000, 0.387), Zn at (0.000, 0.500, 0.000), Zn at (0.250, 0.250, 0.000) and Tc at (0.000, 0.500, 0.500).

The total energy is -4.20 eV per atom. The formation energy comes out at -0.315 eV per atom. The spin magnetization comes out at 0.00 μB/f.u.

***

(3)
First-principles (PBE) data for a relaxed structure of CaAc8La4, as listed in Alexandria via LeMat-Bulk.

The space group is P-1 (No. 2) and the conventional cell measures 8.343, 8.487 and 8.487 Å, with angles of 89.62, 89.30 and 89.41 degrees. Symmetry generates all atoms from Ca at (0.000, 0.000, 0.000), Ac at (0.255, 0.261, 0.262), Ac at (0.258, 0.261, 0.733), Ac at (0.259, 0.732, 0.259), Ac at (0.264, 0.740, 0.737), La at (0.000, 0.000, 0.500), La at (0.000, 0.500, 0.000), La at (0.500, 0.000, 0.000) and La at (0.500, 0.500, 0.500).

The total energy is -3.78 eV per atom. The formation energy comes out at 0.423 eV per atom. The spin magnetization comes out at 0.06 μB/f.u.

***

(4)
First-principles (PBE) data for a relaxed structure of Pa2GePd3, as listed in Alexandria via LeMat-Bulk.

The space group is Fmmm (No. 69) and the conventional cell measures 6.388, 9.120 and 15.956 Å, with angles of 90.00, 90.00 and 90.00 degrees. Symmetry generates all atoms from Pa at (0.227, 0.000, 0.000), Pa at (0.250, 0.250, 0.250), Ge at (0.000, 0.000, 0.335), Pd at (0.000, 0.000, 0.171) and Pd at (0.000, 0.239, 0.415).

The total energy is -7.19 eV per atom. The formation energy comes out at -0.658 eV per atom. The spin magnetization comes out at 0.32 μB/f.u.

***

(5)
First-principles (PBE) data for a relaxed structure of BeTcP2Cl, as listed in Alexandria via LeMat-Bulk.

The space group is P4/mmm (No. 123) and the conventional cell measures 4.525, 4.525 and 5.128 Å, with angles of 90.00, 90.00 and 90.00 degrees. Symmetry generates all atoms from Be at (0.000, 0.000, 0.000), Tc at (0.500, 0.500, 0.500), P at (0.000, 0.500, 0.500) and Cl at (0.500, 0.500, 0.000).

The total energy is -4.61 eV per atom. The polymorph energy (0 for the lowest one) is 0 meV per atom. As for the uncorrected formation energy: 0.74 eV/atom. The spin magnetization comes out at 0.00 μB/f.u.

***

(6)
First-principles (PBE) data for a relaxed structure of PmPr3Dy6Th2, as listed in Alexandria via LeMat-Bulk.

The space group is C2/m (No. 12) and the conventional cell measures 6.256, 10.833 and 11.819 Å, with angles of 90.00, 100.19 and 90.00 degrees. Symmetry generates all atoms from Pm at (0.000, 0.000, 0.000), Pr at (0.000, 0.166, 0.500), Pr at (0.000, 0.500, 0.500), Dy at (0.243, 0.500, 0.245), Dy at (0.249, 0.331, 0.756) and Th at (0.000, 0.333, 0.000).

The total energy is -5.11 eV per atom. The formation energy comes out at 0.023 eV per atom. The spin magnetization comes out at 0.00 μB/f.u.

***

(7)
First-principles (PBE) data for a relaxed structure of Nd4YTm, as listed in Alexandria via LeMat-Bulk.

The space group is Cmmm (No. 65) and the conventional cell measures 11.740, 11.760 and 3.488 Å, with angles of 90.00, 90.00 and 90.00 degrees. Symmetry generates all atoms from Nd at (0.000, 0.242, 0.000), Nd at (0.238, 0.500, 0.500), Y at (0.000, 0.000, 0.500) and Tm at (0.000, 0.500, 0.000).

The total energy is -4.38 eV per atom. The polymorph energy (0 for the lowest one) is 557 meV per atom. The formation energy comes out at 0.619 eV per atom. The spin magnetization comes out at 0.00 μB/f.u.

***

(8)
First-principles (PBE) data for a relaxed structure of Ti15Cd2Sn2, as listed in Alexandria via LeMat-Bulk.

The space group is R-3m (No. 166, hexagonal axes) and the conventional cell measures 9.0853, 9.0853 and 14.7449 Å, with angles of 90.00, 90.00 and 120.00 degrees. Symmetry generates all atoms from Ti at (0.0000, 0.3052, 0.0000), Ti at (0.0000, 0.5000, 0.5000), Ti at (0.0286, 0.5143, 0.1374), Cd at (0.0000, 0.0000, 0.0954) and Sn at (0.0000, 0.0000, 0.3130).

The total energy is -6.54 eV per atom. The formation energy comes out at 0.214 eV per atom. The spin magnetization comes out at 3.59 μB/f.u.